The following is a PBE calculation of an optimized crystal structure of Ba3In3Ga8, from the Alexandria database.

Lattice parameters (Å, degrees): 4.629 9.302 9.302 70.13 75.59 75.59
Fractional coordinates of all 14 atoms:
Ga 0.834 0.537 0.794
Ga 0.166 0.463 0.206
Ga 0.834 0.794 0.537
Ga 0.340 0.925 0.396
Ga 0.340 0.396 0.925
Ga 0.660 0.075 0.604
Ga 0.166 0.206 0.463
Ga 0.660 0.604 0.075
In 0.500 0.000 0.000
In 0.000 0.221 0.779
In 0.000 0.779 0.221
Ba 0.814 0.186 0.186
Ba 0.186 0.814 0.814
Ba 0.500 0.500 0.500

- energy relative to the elements (eV/f.u.) = -5.20

---

The following is a PBE calculation of an optimized crystal structure of Ba4InGa, from the Alexandria database.

Lattice parameters (Å, degrees): 5.237 8.083 8.083 88.96 90.00 90.00
Site moments in Bohr magnetons follow the coordinates.
Fractional coordinates of all 6 atoms:
Ba 0.500 0.691 0.309  0.03
Ba 0.500 0.309 0.691  0.03
Ba 0.000 0.790 0.790  0.02
Ba 0.000 0.210 0.210  0.02
Ga 0.000 0.500 0.500  0.09
In 0.500 0.000 0.000  0.04

- energy relative to the elements (eV/f.u.) = -0.63

---

The following is a PBE calculation of an optimized crystal structure of Ba2In2Ga, from the Alexandria database.

Lattice parameters (Å, degrees): 5.185 7.102 10.843 111.98 90.00 111.41
Fractional coordinates of all 10 atoms:
In 0.037 0.073 0.150
In 0.898 0.795 0.346
In 0.102 0.205 0.654
In 0.963 0.927 0.850
Ga 0.276 0.551 0.261
Ga 0.724 0.449 0.739
Ba 0.389 0.778 0.607
Ba 0.659 0.319 0.024
Ba 0.611 0.222 0.393
Ba 0.341 0.681 0.976

- energy relative to the elements (eV/f.u.) = -1.82

---

The following is a PBE calculation of an optimized crystal structure of Ba2InGa2, from the Alexandria database.

Lattice parameters (Å, degrees): 5.040 4.662 7.472 108.18 90.00 90.00
Fractional coordinates of all 5 atoms:
In 0.500 0.112 0.224
Ba 0.000 0.683 0.367
Ba 0.000 0.931 0.863
Ga 0.500 0.315 0.630
Ga 0.500 0.500 0.000

- energy relative to the elements (eV/f.u.) = -1.51

---

The following is a PBE calculation of an optimized crystal structure of Ba8InGa2, from the Alexandria database.

Lattice parameters (Å, degrees): 6.034 8.312 11.117 111.93 105.75 90.00
Fractional coordinates of all 11 atoms:
In 0.137 0.973 0.909
Ba 0.138 0.559 0.909
Ba 0.295 0.346 0.226
Ba 0.533 0.729 0.701
Ba 0.347 0.859 0.331
Ba 0.741 0.938 0.117
Ba 0.925 0.437 0.487
Ba 0.637 0.256 0.909
Ba 0.978 0.029 0.593
Ga 0.477 0.279 0.593
Ga 0.793 0.594 0.225

- energy relative to the elements (eV/f.u.) = -2.27

---

The following is a PBE calculation of an optimized crystal structure of Ba2In5Ga3, from the Alexandria database.

Lattice parameters (Å, degrees): 4.903 4.903 11.697 90.00 90.00 90.00
Fractional coordinates of all 10 atoms:
In 0.000 0.000 0.000
In 0.500 0.500 0.000
In 0.500 0.000 0.851
In 0.000 0.500 0.149
In 0.500 0.500 0.500
Ga 0.000 0.000 0.500
Ga 0.500 0.000 0.617
Ga 0.000 0.500 0.383
Ba 0.500 0.000 0.265
Ba 0.000 0.500 0.735

- energy relative to the elements (eV/f.u.) = -3.70

---

The following is a PBE calculation of an optimized crystal structure of Ba12In5Ga2, from the Alexandria database.

Lattice parameters (Å, degrees): 8.582 10.653 11.961 106.60 90.00 113.75
Fractional coordinates of all 19 atoms:
Ba 0.568 0.643 0.892
Ba 0.926 0.357 0.108
Ba 0.493 0.985 0.810
Ba 0.507 0.015 0.190
Ba 0.092 0.184 0.803
Ba 0.110 0.705 0.452
Ba 0.074 0.643 0.892
Ba 0.908 0.816 0.197
Ba 0.432 0.357 0.108
Ba 0.405 0.295 0.548
Ba 0.890 0.295 0.548
Ba 0.595 0.705 0.452
In 0.700 0.400 0.347
In 0.300 0.600 0.653
In 0.672 0.344 0.835
In 0.328 0.656 0.165
In 0.000 0.000 0.500
Ga 0.142 0.000 0.000
Ga 0.858 0.000 0.000

- energy relative to the elements (eV/f.u.) = -3.74

---

The following is a PBE calculation of an optimized crystal structure of BaIn3Ga3, from the Alexandria database.

Lattice parameters (Å, degrees): 4.377 10.190 10.190 120.01 90.00 90.00
Fractional coordinates of all 14 atoms:
Ga 0.250 0.419 0.468
Ga 0.750 0.468 0.049
Ga 0.250 0.049 0.581
Ga 0.750 0.581 0.532
Ga 0.250 0.532 0.951
Ga 0.750 0.951 0.419
In 0.750 0.291 0.204
In 0.250 0.204 0.914
In 0.250 0.709 0.796
In 0.750 0.914 0.709
In 0.750 0.796 0.086
In 0.250 0.086 0.291
Ba 0.250 0.667 0.333
Ba 0.750 0.333 0.667

- energy relative to the elements (eV/f.u.) = -0.87